[1]
The following is a DFT calculation (PBE-GGA) of an optimized crystal structure of PrPu4Te5.

Values from the calculation:
Mass density ... 9.33 g/cm3
Crystal system ... orthorhombic
M_tot ... 0.013 μB/atom
Formation energy from raw total energies ... -1.15 eV/atom

```
data_PrPu4Te5
_chemical_formula_sum 'Pr2 Pu8 Te10'
_space_group_name_H-M_alt 'I m m m'
_space_group_IT_number 71
_space_group_name_Hall '-I 2 2'
_cell_length_a 4.446
_cell_length_b 6.299
_cell_length_c 22.299
_cell_angle_alpha 90.00
_cell_angle_beta 90.00
_cell_angle_gamma 90.00
loop_
_atom_site_label
_atom_site_fract_x
_atom_site_fract_y
_atom_site_fract_z
Pr1 0.000 0.000 0.000
Pu1 0.000 0.000 0.202
Pu2 0.000 0.000 0.401
Te1 0.000 0.500 0.000
Te2 0.000 0.500 0.199
Te3 0.000 0.500 0.397
```


[2]
The following is a DFT calculation (PBE-GGA) of an optimized crystal structure of PrPuTe3.

Values from the calculation:
Mass density ... 7.88 g/cm3
Offset from the most stable computed form ... 0 meV per atom
Crystal system ... orthorhombic
M_tot ... 1.000 μB/atom
Formation energy from raw total energies ... -1.23 eV/atom

```
data_PrPuTe3
_chemical_formula_sum 'Pr4 Pu4 Te12'
_space_group_name_H-M_alt 'P n m a'
_space_group_IT_number 62
_cell_length_a 8.340
_cell_length_b 4.458
_cell_length_c 17.417
_cell_angle_alpha 90.00
_cell_angle_beta 90.00
_cell_angle_gamma 90.00
loop_
_space_group_symop_operation_xyz
'x,y,z'
'-x,-y,-z'
'-x+1/2,-y,z+1/2'
'x+1/2,y,-z+1/2'
'x+1/2,-y+1/2,-z+1/2'
'-x+1/2,y+1/2,z+1/2'
'-x,y+1/2,-z'
'x,-y+1/2,z'
loop_
_atom_site_label
_atom_site_fract_x
_atom_site_fract_y
_atom_site_fract_z
Pr1 0.132 0.250 0.202
Pu1 0.226 0.750 0.461
Te1 0.004 0.250 0.392
Te2 0.121 0.750 0.064
Te3 0.157 0.250 0.785
```


[3]
The following is a DFT calculation (PBE-GGA) of an optimized crystal structure of Pr2PuTe.

Values from the calculation:
Mass density ... 7.85 g/cm3
Crystal system ... trigonal
M_tot ... 1.871 μB/atom
Formation energy from raw total energies ... -0.42 eV/atom

```
data_Pr2PuTe
_chemical_formula_sum 'Pr6 Pu3 Te3'
_space_group_name_H-M_alt 'R -3 m'
_space_group_IT_number 166
_space_group_name_Hall '-R 3 2"'
_cell_length_a 4.0012
_cell_length_b 4.0012
_cell_length_c 29.8911
_cell_angle_alpha 90.00
_cell_angle_beta 90.00
_cell_angle_gamma 120.00
loop_
_atom_site_label
_atom_site_fract_x
_atom_site_fract_y
_atom_site_fract_z
Pr1 0.0000 0.0000 0.2396
Pu1 0.0000 0.0000 0.0000
Te1 0.0000 0.0000 0.5000
```


[4]
The following is a DFT calculation (PBE-GGA) of an optimized crystal structure of Pr5PuTe8.

Values from the calculation:
Mass density ... 7.45 g/cm3
Crystal system ... tetragonal
M_tot ... 0.469 μB/atom
Formation energy from raw total energies ... -1.40 eV/atom

```
data_Pr5PuTe8
_chemical_formula_sum 'Pr10 Pu2 Te16'
_space_group_name_H-M_alt 'I -4'
_space_group_IT_number 82
_cell_length_a 9.577
_cell_length_b 9.577
_cell_length_c 9.572
_cell_angle_alpha 90.00
_cell_angle_beta 90.00
_cell_angle_gamma 90.00
loop_
_space_group_symop_operation_xyz
'x,y,z'
'y,-x,-z'
'-x,-y,z'
'-y,x,-z'
'x+1/2,y+1/2,z+1/2'
'y+1/2,-x+1/2,-z+1/2'
'-x+1/2,-y+1/2,z+1/2'
'-y+1/2,x+1/2,-z+1/2'
loop_
_atom_site_label
_atom_site_fract_x
_atom_site_fract_y
_atom_site_fract_z
Pr1 0.000 0.000 0.000
Pr2 0.124 0.250 0.623
Pu1 0.000 0.500 0.250
Te1 0.075 0.176 0.297
Te2 0.076 0.326 0.950
```


[5]
The following is a DFT calculation (PBE-GGA) of an optimized crystal structure of PrPu3Te4.

Values from the calculation:
Mass density ... 9.14 g/cm3
Crystal system ... orthorhombic
M_tot ... 0.736 μB/atom
Formation energy from raw total energies ... -1.17 eV/atom

```
data_PrPu3Te4
_chemical_formula_sum 'Pr2 Pu6 Te8'
_space_group_name_H-M_alt 'C m m m'
_space_group_IT_number 65
_space_group_name_Hall '-C 2 2'
_cell_length_a 8.913
_cell_length_b 12.647
_cell_length_c 4.459
_cell_angle_alpha 90.00
_cell_angle_beta 90.00
_cell_angle_gamma 90.00
loop_
_atom_site_label
_atom_site_fract_x
_atom_site_fract_y
_atom_site_fract_z
Pr1 0.000 0.000 0.000
Pu1 0.000 0.500 0.000
Pu2 0.250 0.250 0.500
Te1 0.000 0.252 0.000
Te2 0.244 0.500 0.500
```


[6]
The following is a DFT calculation (PBE-GGA) of an optimized crystal structure of PrPuTe2.

Values from the calculation:
Mass density ... 8.05 g/cm3
Offset from the most stable computed form ... 272 meV per atom
Crystal system ... orthorhombic
M_tot ... 1.450 μB/atom
Formation energy from raw total energies ... -1.01 eV/atom

```
data_PrPuTe2
_chemical_formula_sum 'Pr2 Pu2 Te4'
_space_group_name_H-M_alt 'P m m n'
_space_group_IT_number 59
_cell_length_a 4.020
_cell_length_b 5.851
_cell_length_c 11.225
_cell_angle_alpha 90.00
_cell_angle_beta 90.00
_cell_angle_gamma 90.00
loop_
_space_group_symop_operation_xyz
'x,y,z'
'-x,-y,-z'
'-x+1/2,-y+1/2,z'
'x+1/2,y+1/2,-z'
'x+1/2,-y,-z'
'-x+1/2,y,z'
'-x,y+1/2,-z'
'x,-y+1/2,z'
loop_
_atom_site_label
_atom_site_fract_x
_atom_site_fract_y
_atom_site_fract_z
Pr1 0.250 0.250 0.126
Pu1 0.250 0.750 0.379
Te1 0.250 0.250 0.409
Te2 0.250 0.250 0.843
```


[7]
The following is a DFT calculation (PBE-GGA) of an optimized crystal structure of PrPuTe.

Values from the calculation:
Mass density ... 9.69 g/cm3
Crystal system ... monoclinic
M_tot ... 0.016 μB/atom
Formation energy from raw total energies ... -0.51 eV/atom

```
data_PrPuTe
_chemical_formula_sum 'Pr4 Pu4 Te4'
_space_group_name_H-M_alt 'C 1 m 1'
_space_group_IT_number 8
_cell_length_a 11.310
_cell_length_b 3.833
_cell_length_c 9.636
_cell_angle_alpha 90.00
_cell_angle_beta 122.77
_cell_angle_gamma 90.00
loop_
_space_group_symop_operation_xyz
'x,y,z'
'x,-y,z'
'x+1/2,y+1/2,z'
'x+1/2,-y+1/2,z'
loop_
_atom_site_label
_atom_site_fract_x
_atom_site_fract_y
_atom_site_fract_z
Pr1 0.000 0.000 0.000
Pr2 0.164 0.000 0.715
Pu1 0.129 0.000 0.355
Pu2 0.288 0.500 0.373
Te1 0.344 0.000 0.133
Te2 0.432 0.000 0.690
```


[8]
The following is a DFT calculation (PBE-GGA) of an optimized crystal structure of PrPuTe3.

Values from the calculation:
Mass density ... 6.51 g/cm3
Offset from the most stable computed form ... 184 meV per atom
Crystal system ... trigonal
M_tot ... 0.999 μB/atom
Formation energy from raw total energies ... -1.05 eV/atom

```
data_PrPuTe3
_chemical_formula_sum 'Pr6 Pu6 Te18'
_space_group_name_H-M_alt 'R 3 2'
_space_group_IT_number 155
_space_group_name_Hall 'R 3 2"'
_cell_length_a 7.6144
_cell_length_b 7.6144
_cell_length_c 23.4032
_cell_angle_alpha 90.00
_cell_angle_beta 90.00
_cell_angle_gamma 120.00
loop_
_atom_site_label
_atom_site_fract_x
_atom_site_fract_y
_atom_site_fract_z
Pr1 0.0000 0.0000 0.1566
Pu1 0.0000 0.0000 0.3407
Te1 0.0089 0.3128 0.2502
```


[9]
The following is a DFT calculation (PBE-GGA) of an optimized crystal structure of PrPuTe6.

Values from the calculation:
Mass density ... 7.32 g/cm3
Crystal system ... orthorhombic
M_tot ... 0.604 μB/atom
Formation energy from raw total energies ... -0.85 eV/atom

```
data_PrPuTe6
_chemical_formula_sum 'Pr2 Pu2 Te12'
_space_group_name_H-M_alt 'A m m 2'
_space_group_IT_number 38
_cell_length_a 4.390
_cell_length_b 4.388
_cell_length_c 27.086
_cell_angle_alpha 90.00
_cell_angle_beta 90.00
_cell_angle_gamma 90.00
loop_
_space_group_symop_operation_xyz
'x,y,z'
'-x,-y,z'
'-x,y,z'
'x,-y,z'
'x,y+1/2,z+1/2'
'-x,-y+1/2,z+1/2'
'-x,y+1/2,z+1/2'
'x,-y+1/2,z+1/2'
loop_
_atom_site_label
_atom_site_fract_x
_atom_site_fract_y
_atom_site_fract_z
Pr1 0.000 0.000 0.000
Pu1 0.500 0.000 0.343
Te1 0.000 0.000 0.253
Te2 0.000 0.000 0.595
Te3 0.000 0.000 0.875
Te4 0.500 0.000 0.095
Te5 0.500 0.000 0.463
Te6 0.500 0.000 0.753
```


[10]
The following is a DFT calculation (PBE-GGA) of an optimized crystal structure of Pr6PuTe8.

Values from the calculation:
Mass density ... 6.73 g/cm3
Crystal system ... cubic
M_tot ... 0.415 μB/atom
Formation energy from raw total energies ... -1.41 eV/atom

```
data_Pr6PuTe8
_chemical_formula_sum 'Pr24 Pu4 Te32'
_space_group_name_H-M_alt 'F m -3 m'
_space_group_IT_number 225
_space_group_name_Hall '-F 4 2 3'
_cell_length_a 12.773
_cell_length_b 12.773
_cell_length_c 12.773
_cell_angle_alpha 90.00
_cell_angle_beta 90.00
_cell_angle_gamma 90.00
loop_
_atom_site_label
_atom_site_fract_x
_atom_site_fract_y
_atom_site_fract_z
Pr1 0.000 0.250 0.250
Pu1 0.000 0.000 0.000
Te1 0.000 0.000 0.251
Te2 0.250 0.250 0.250
```


[11]
The following is a DFT calculation (PBE-GGA) of an optimized crystal structure of PrPu5Te6.

Values from the calculation:
Mass density ... 9.43 g/cm3
Crystal system ... monoclinic
M_tot ... 2.455 μB/atom
Formation energy from raw total energies ... -1.15 eV/atom

```
data_PrPu5Te6
_chemical_formula_sum 'Pr2 Pu10 Te12'
_space_group_name_H-M_alt 'C 1 2/m 1'
_space_group_IT_number 12
_cell_length_a 7.712
_cell_length_b 13.357
_cell_length_c 7.715
_cell_angle_alpha 90.00
_cell_angle_beta 109.46
_cell_angle_gamma 90.00
loop_
_space_group_symop_operation_xyz
'x,y,z'
'-x,-y,-z'
'-x,y,-z'
'x,-y,z'
'x+1/2,y+1/2,z'
'-x+1/2,-y+1/2,-z'
'-x+1/2,y+1/2,-z'
'x+1/2,-y+1/2,z'
loop_
_atom_site_label
_atom_site_fract_x
_atom_site_fract_y
_atom_site_fract_z
Pr1 0.000 0.000 0.000
Pu1 0.000 0.164 0.500
Pu2 0.000 0.333 0.000
Pu3 0.000 0.500 0.500
Te1 0.245 0.500 0.251
Te2 0.246 0.331 0.746
```


- What is the mass density in the fourth record?
  7.45 g/cm3


- The lowest mass density belongs to which entry?
  number 8


Repeat the second record exactly.
The following is a DFT calculation (PBE-GGA) of an optimized crystal structure of PrPuTe3.

Values from the calculation:
Mass density ... 7.88 g/cm3
Offset from the most stable computed form ... 0 meV per atom
Crystal system ... orthorhombic
M_tot ... 1.000 μB/atom
Formation energy from raw total energies ... -1.23 eV/atom

```
data_PrPuTe3
_chemical_formula_sum 'Pr4 Pu4 Te12'
_space_group_name_H-M_alt 'P n m a'
_space_group_IT_number 62
_cell_length_a 8.340
_cell_length_b 4.458
_cell_length_c 17.417
_cell_angle_alpha 90.00
_cell_angle_beta 90.00
_cell_angle_gamma 90.00
loop_
_space_group_symop_operation_xyz
'x,y,z'
'-x,-y,-z'
'-x+1/2,-y,z+1/2'
'x+1/2,y,-z+1/2'
'x+1/2,-y+1/2,-z+1/2'
'-x+1/2,y+1/2,z+1/2'
'-x,y+1/2,-z'
'x,-y+1/2,z'
loop_
_atom_site_label
_atom_site_fract_x
_atom_site_fract_y
_atom_site_fract_z
Pr1 0.132 0.250 0.202
Pu1 0.226 0.750 0.461
Te1 0.004 0.250 0.392
Te2 0.121 0.750 0.064
Te3 0.157 0.250 0.785
```